A geometry-optimized Ba2MgSe structure. Source: Alexandria, functional PBE.

a = 5.856 Å, b = 5.856 Å, c = 5.856 Å
α = 60.00°, β = 60.00°, γ = 60.00°
Element x y z (fractional)
Ba1 0.000 0.000 0.000
Ba2 0.250 0.250 0.250
Mg1 0.750 0.750 0.750
Se1 0.500 0.500 0.500

Computed properties:
formation energy from raw total energies: -0.26 eV per atom
symmetry: F-43m (216)



A geometry-optimized Pm3Nd6Sm2Tm structure. Source: Alexandria, functional PBE.

a = 6.328 Å, b = 6.328 Å, c = 12.073 Å
α = 95.02°, β = 95.02°, γ = 120.00°
Element x y z (fractional)
Pm1 0.000 0.000 0.000
Pm2 0.334 0.666 0.000
Pm3 0.666 0.334 0.000
Nd1 0.085 0.417 0.252
Nd2 0.250 0.250 0.748
Nd3 0.417 0.085 0.252
Nd4 0.583 0.915 0.748
Nd5 0.750 0.750 0.252
Nd6 0.915 0.583 0.748
Sm1 0.167 0.833 0.500
Sm2 0.833 0.167 0.500
Tm1 0.500 0.500 0.500

Computed properties:
total energy: -4.717 eV/atom
symmetry: C2/m (12)



A geometry-optimized ErTc structure. Source: Alexandria, functional PBE.

a = 3.147 Å, b = 3.147 Å, c = 8.683 Å
α = 90.00°, β = 90.00°, γ = 90.00°
Element x y z (fractional)
Er1 0.250 0.250 0.185
Er2 0.750 0.750 0.815
Tc1 0.250 0.250 0.579
Tc2 0.750 0.750 0.421

Computed properties:
total energy: -7.484 eV/atom
symmetry: P4/nmm (129)



A geometry-optimized CdAsCl structure. Source: Alexandria, functional PBE.

a = 6.345 Å, b = 6.345 Å, c = 8.035 Å
α = 111.45°, β = 111.45°, γ = 34.52°
Element x y z (fractional)
Cd1 0.000 0.000 0.000
Cd2 0.206 0.206 0.655
As1 0.360 0.360 0.495
As2 0.989 0.989 0.668
Cl1 0.574 0.574 0.230
Cl2 0.768 0.768 0.930

Computed properties:
formation energy from raw total energies: -0.54 eV per atom
symmetry: Cm (8)



A geometry-optimized FeHgI2N structure. Source: Alexandria, functional PBE.

a = 5.628 Å, b = 5.628 Å, c = 3.522 Å
α = 90.00°, β = 90.00°, γ = 90.00°
Element x y z (fractional)
Fe1 0.000 0.000 0.000
Hg1 0.500 0.500 0.500
I1 0.000 0.500 0.000
I2 0.500 0.000 0.000
N1 0.000 0.000 0.500

Computed properties:
formation energy from raw total energies: 0.38 eV per atom
symmetry: P4/mmm (123)



A geometry-optimized Hg2BiPb4 structure. Source: Alexandria, functional PBE.

a = 7.153 Å, b = 7.153 Å, c = 4.380 Å
α = 90.00°, β = 90.00°, γ = 97.37°
Element x y z (fractional)
Hg1 0.244 0.756 0.000
Hg2 0.756 0.244 0.000
Bi1 0.500 0.500 0.500
Pb1 0.000 0.500 0.500
Pb2 0.226 0.226 0.000
Pb3 0.500 0.000 0.500
Pb4 0.774 0.774 0.000

Computed properties:
total energy: -2.704 eV/atom
symmetry: Cmmm (65)



A geometry-optimized Na3CrPt structure. Source: Alexandria, functional PBE.

a = 5.442 Å, b = 5.442 Å, c = 5.442 Å
α = 90.00°, β = 90.00°, γ = 90.00°
Element x y z (fractional)
Na1 0.000 0.000 0.500
Na2 0.000 0.500 0.000
Na3 0.500 0.000 0.000
Cr1 0.500 0.500 0.500
Pt1 0.000 0.000 0.000

Computed properties:
total energy: -3.298 eV/atom
symmetry: Pm-3m (221)



A geometry-optimized PmDySi structure. Source: Alexandria, functional PBE.

a = 4.681 Å, b = 4.681 Å, c = 4.225 Å
α = 90.00°, β = 90.00°, γ = 120.00°
Element x y z (fractional)
Pm1 0.000 0.000 0.000
Dy1 0.667 0.333 0.532
Si1 0.333 0.667 0.348

Computed properties:
formation energy from raw total energies: -0.31 eV per atom
symmetry: P3m1 (156)